# GGA+U Na2VGeO5, relaxed
data_Na2VGeO5
_cell_length_a 3.082
_cell_length_b 12.096
_cell_length_c 11.687
_cell_angle_alpha 90.00
_cell_angle_beta 90.00
_cell_angle_gamma 90.00
_space_group_name_H-M_alt 'C m c 21'
_space_group_IT_number 36
loop_
_space_group_symop_operation_xyz
'x,y,z'
'-x,-y,z+1/2'
'-x,y,z'
'x,-y,z+1/2'
'x+1/2,y+1/2,z'
'-x+1/2,-y+1/2,z+1/2'
'-x+1/2,y+1/2,z'
'x+1/2,-y+1/2,z+1/2'
loop_
_atom_site_label
_atom_site_fract_x
_atom_site_fract_y
_atom_site_fract_z
Na1 0.000 0.075 0.000
Na2 0.000 0.160 0.606
V1 0.000 0.242 0.354
Ge1 0.000 0.461 0.761
O1 0.000 0.061 0.348
O2 0.000 0.267 0.960
O3 0.000 0.303 0.744
O4 0.000 0.385 0.326
O5 0.000 0.493 0.122
# Fermi-level density of states = 0.00 states/eV/cell
# Total energy = -6.194 eV/atom